Entry 1:
# Ta3NbCo, optimized geometry, DFT PBEsol
# V = 92.7 Å³/cell
# VASP energy = -10.462 eV/atom
# total moment = 0.001 μB/f.u.
data_Ta3NbCo
_chemical_formula_sum 'Ta3 Nb1 Co1'
_cell_length_a 4.525
_cell_length_b 4.525
_cell_length_c 4.525
_cell_angle_alpha 90.00
_cell_angle_beta 90.00
_cell_angle_gamma 90.00
_space_group_name_H-M_alt 'P m -3 m'
_space_group_IT_number 221
_space_group_name_Hall '-P 4 2 3'
loop_
_atom_site_label
_atom_site_fract_x
_atom_site_fract_y
_atom_site_fract_z
Ta1 0.000 0.000 0.500
Nb1 0.500 0.500 0.500
Co1 0.000 0.000 0.000

---

Entry 2:
# TaNb2CoW, optimized geometry, DFT PBEsol
# V = 98.4 Å³/cell
# VASP energy = -9.604 eV/atom
# total moment = 0.001 μB/f.u.
data_TaNb2CoW
_chemical_formula_sum 'Ta1 Nb2 Co1 W1'
_cell_length_a 4.801
_cell_length_b 4.801
_cell_length_c 4.271
_cell_angle_alpha 90.00
_cell_angle_beta 90.00
_cell_angle_gamma 90.00
_space_group_name_H-M_alt 'P 4/m m m'
_space_group_IT_number 123
_space_group_name_Hall '-P 4 2'
loop_
_atom_site_label
_atom_site_fract_x
_atom_site_fract_y
_atom_site_fract_z
Ta1 0.000 0.000 0.000
Nb1 0.000 0.500 0.500
Co1 0.500 0.500 0.000
W1 0.500 0.500 0.500

---

Entry 3:
# NbCoTc3, optimized geometry, DFT PBEsol
# V = 97.3 Å³/cell
# VASP energy = -8.190 eV/atom
# total moment = 1.358 μB/f.u.
data_NbCoTc3
_chemical_formula_sum 'Nb1 Co1 Tc3'
_cell_length_a 4.599
_cell_length_b 4.599
_cell_length_c 4.599
_cell_angle_alpha 90.00
_cell_angle_beta 90.00
_cell_angle_gamma 90.00
_space_group_name_H-M_alt 'P m -3 m'
_space_group_IT_number 221
_space_group_name_Hall '-P 4 2 3'
loop_
_atom_site_label
_atom_site_fract_x
_atom_site_fract_y
_atom_site_fract_z
Nb1 0.000 0.000 0.000
Co1 0.500 0.500 0.500
Tc1 0.000 0.000 0.500